Entry 1:
Compound: K3MnF6
Source: the Alexandria database
Functional: PBEsol
Structure: optimized geometry

Properties
- E: -5.13 eV/atom
- Space-group type: Fm-3m (225)

Geometry as POSCAR:
```
K3MnF6
1.0
-5.429 -1.752 -2.384
-4.697 -1.455 3.748
-4.906 3.742 0.404
F K Mn
6 3 1
direct
0.220 0.780 0.780
0.780 0.780 0.220
0.220 0.780 0.220
0.780 0.220 0.780
0.780 0.220 0.220
0.220 0.220 0.780
0.500 0.500 0.500
0.250 0.250 0.250
0.750 0.750 0.750
0.000 0.000 0.000
```

Entry 2:
Compound: Na3Au
Source: the Alexandria database
Functional: PBEsol
Structure: optimized geometry

Properties
- Space-group type: Fm-3m (225)
- Energy of formation from the pure elements: -0.122 eV/atom

Geometry as POSCAR:
```
Na3Au
1.0
5.104 0.000 0.000
2.552 4.420 0.000
2.552 1.473 4.168
Na Au
3 1
direct
0.500 0.500 0.500
0.250 0.250 0.250
0.750 0.750 0.750
0.000 0.000 0.000
```

Entry 3:
Compound: LiEuH3
Source: the Alexandria database
Functional: PBEsol
Structure: optimized geometry

Properties
- E: -5.04 eV/atom
- Space-group type: Pm-3m (221)

Geometry as POSCAR:
```
LiEuH3
1.0
-3.654 -0.004 0.105
0.094 -1.737 3.215
0.046 3.216 1.737
H Li Eu
3 1 1
direct
0.500 0.500 0.000
0.500 0.000 0.500
0.000 0.500 0.500
0.500 0.500 0.500
0.000 0.000 0.000
```

Entry 4:
Compound: InAs2HPd
Source: the Alexandria database
Functional: PBEsol
Structure: optimized geometry

Properties
- E: -3.10 eV/atom
- Space-group type: P4/mmm (123)

Geometry as POSCAR:
```
InAs2HPd
1.0
5.027 0.000 0.000
0.000 5.132 0.000
0.000 0.000 5.132
As In Pd H
2 1 1 1
direct
0.000 0.000 0.500
0.000 0.500 0.000
0.000 0.000 0.000
0.500 0.000 0.000
0.500 0.500 0.500
```

Entry 5:
Compound: LaAsSe2
Source: the Alexandria database
Functional: PBEsol
Structure: optimized geometry

Properties
- E: -5.25 eV/atom
- Space-group type: R-3m (166)

Geometry as POSCAR:
```
LaAsSe2
1.0
4.200 0.000 0.000
2.100 3.638 0.000
2.100 1.213 8.510
La Se As
1 2 1
direct
0.500 0.500 0.500
0.101 0.101 0.698
0.899 0.899 0.302
0.000 0.000 0.000
```

Entry 6:
Compound: TlFeW
Source: the Alexandria database
Functional: PBEsol
Structure: optimized geometry

Properties
- Space-group type: F-43m (216)
- Energy of formation from the pure elements: 1.380 eV/atom

Geometry as POSCAR:
```
TlFeW
1.0
4.329 0.000 0.000
2.165 3.749 0.000
2.165 1.250 3.535
Tl Fe W
1 1 1
direct
0.500 0.500 0.500
0.000 0.000 0.000
0.250 0.250 0.250
```